Entry 1:
# Ca2Tc2C2N

Ca2Tc2C2N after structural relaxation (PBE, Alexandria).

Unit cell a=11.102 b=3.356 c=6.619 alpha=90.00 beta=124.88 gamma=90.00
Space group C2/m (No. 12)
One atom of each set of equivalent atoms:
Ca: 0.065 0.000 0.339 [4 per cell]
Tc: 0.199 0.500 0.092 [4 per cell]
C: 0.181 0.500 0.745 [4 per cell]
N: 0.000 0.500 0.000 [2 per cell]

Results
E_form (uncorrected) in meV/atom: -229.1
D(E_F) in states/eV per atom: 0.443
VASP energy in Ry per atom: -0.55766

=====

Entry 2:
# CeScPH2

CeScPH2 after structural relaxation (PBE, Alexandria).

Unit cell a=3.957 b=3.957 c=5.231 alpha=90.00 beta=90.00 gamma=90.00
Space group P4mm (No. 99)
One atom of each set of equivalent atoms:
Ce: 0.000 0.000 0.000 [1 per cell]
Sc: 0.500 0.500 0.405 [1 per cell]
P: 0.500 0.500 0.890 [1 per cell]
H: 0.000 0.500 0.296 [2 per cell]

Results
D(E_F) in states/eV per atom: 1.405
VASP energy in Ry per atom: -0.41883